Record 1
PrNd2Dy4Th (PBE, relaxed); raw total energy = -0.3683 Ry/atom; space group = P2/m
1.0
-1.374 2.786 -1.853
-2.262 2.436 5.339
7.601 8.310 6.858
Pr Nd Dy Th
1 2 4 1
direct
0.500 0.500 0.000
0.000 0.000 0.000
0.500 0.000 0.500
0.000 0.924 0.748
0.000 0.076 0.252
0.500 0.581 0.255
0.500 0.419 0.745
0.000 0.500 0.500


Record 2
Pr5NdDy2Th (PBE, relaxed); raw total energy = -0.3582 Ry/atom; space group = Cmc2_1
1.0
5.759 0.000 0.000
-2.880 10.352 0.000
0.000 0.000 10.654
Pr Nd Dy Th
10 2 4 2
direct
0.386 0.772 0.026
0.724 0.447 0.814
0.479 0.958 0.743
0.292 0.585 0.704
0.985 0.970 0.521
0.614 0.228 0.526
0.276 0.553 0.314
0.521 0.042 0.243
0.708 0.415 0.204
0.015 0.030 0.021
0.591 0.182 0.951
0.409 0.818 0.451
0.884 0.767 0.816
0.113 0.227 0.736
0.116 0.233 0.316
0.887 0.773 0.236
0.802 0.603 0.513
0.198 0.397 0.013


Record 3
Pr2Nd4DyTh (PBE, relaxed); raw total energy = -0.3638 Ry/atom; space group = P2/m
1.0
6.136 0.000 0.000
0.000 5.827 1.869
0.000 3.563 8.862
Pr Nd Dy Th
2 4 1 1
direct
0.000 0.000 0.000
0.500 0.000 0.500
0.000 0.745 0.755
0.000 0.255 0.245
0.500 0.755 0.245
0.500 0.245 0.755
0.000 0.500 0.500
0.500 0.500 0.000